The following is a DFT calculation (PBE) of BaCaTe2 after structural relaxation.

Summary:
Space group: C2/c, No. 15
ΔE_f (raw) (kJ/mol of formula units): -640
Calculated volume (Å³/cell): 1238.7
Total DFT energy (no corrections) (eV per atom): -4.21
Polymorph energy (0 for the lowest one) (meV per atom): 38

Cell: 15.9684 9.4584 9.4584 Å, 60.13 89.92 90.08°
Sites, in units of the cell vectors:
1 Ca 0.3744 0.5851 0.0809
2 Ca 0.1256 0.5809 0.0851
3 Ca 0.6256 0.4149 0.9191
4 Ca 0.8744 0.4191 0.9149
5 Ca 0.3742 0.0816 0.0830
6 Ca 0.1258 0.5830 0.5816
7 Ca 0.6258 0.9184 0.9170
8 Ca 0.8742 0.4170 0.4184
9 Te 0.0086 0.7224 0.7626
10 Te 0.4914 0.2626 0.2224
11 Te 0.9914 0.2776 0.2374
12 Te 0.5086 0.7374 0.7776
13 Te 0.7474 0.0987 0.0680
14 Te 0.7526 0.5680 0.5987
15 Te 0.2526 0.9013 0.9320
16 Te 0.2474 0.4320 0.4013
17 Te 0.4939 0.7656 0.2213
18 Te 0.0061 0.7213 0.2656
19 Te 0.5061 0.2344 0.7787
20 Te 0.9939 0.2787 0.7344
21 Te 0.7500 0.0887 0.5887
22 Te 0.2500 0.9113 0.4113
23 Te 0.7500 0.5774 0.0774
24 Te 0.2500 0.4226 0.9226
25 Ba 0.1185 0.0887 0.0799
26 Ba 0.3815 0.5799 0.5887
27 Ba 0.8815 0.9113 0.9201
28 Ba 0.6185 0.4201 0.4113
29 Ba 0.3799 0.0812 0.5870
30 Ba 0.1201 0.0870 0.5812
31 Ba 0.6201 0.9188 0.4130
32 Ba 0.8799 0.9130 0.4188